1.
# PBE Nb3W7, optimized geometry
# Formation energy from the elements = 0.523 eV/atom
# Calculated volume = 350.4 Å³ per cell
data_Nb3W7
_chemical_formula_sum 'Nb6 W14'
_symmetry_space_group_name_H-M 'P 63/m m c'
_symmetry_Int_Tables_number 194
_symmetry_space_group_name_Hall '-P 6c 2c'
_cell_length_a 8.7293
_cell_length_b 8.7293
_cell_length_c 5.3103
_cell_angle_alpha 90.00
_cell_angle_beta 90.00
_cell_angle_gamma 120.00
loop_
_atom_site_label
_atom_site_type_symbol
_atom_site_fract_x
_atom_site_fract_y
_atom_site_fract_z
_atom_site_occupancy
Nb1 Nb 0.2084 0.4168 0.2500 1
W1 W 0.0000 0.5000 0.0000 1
W2 W 0.1140 0.2280 0.7500 1
W3 W 0.3333 0.6667 0.7500 1

---

2.
# PBE Nb7W, optimized geometry
# Formation energy from the elements = -0.031 eV/atom
# Calculated volume = 285.9 Å³ per cell
data_Nb7W
_chemical_formula_sum 'Nb14 W2'
_symmetry_space_group_name_H-M 'I 4/m m m'
_symmetry_Int_Tables_number 139
_symmetry_space_group_name_Hall '-I 4 2'
_cell_length_a 4.654
_cell_length_b 4.654
_cell_length_c 13.201
_cell_angle_alpha 90.00
_cell_angle_beta 90.00
_cell_angle_gamma 90.00
loop_
_atom_site_label
_atom_site_type_symbol
_atom_site_fract_x
_atom_site_fract_y
_atom_site_fract_z
_atom_site_occupancy
Nb1 Nb 0.000 0.000 0.000 1
Nb2 Nb 0.000 0.000 0.251 1
Nb3 Nb 0.000 0.500 0.123 1
W1 W 0.000 0.000 0.500 1

---

3.
# PBE Nb3W13, optimized geometry
# Formation energy from the elements = -0.046 eV/atom
# Calculated volume = 527.4 Å³ per cell
data_Nb3W13
_chemical_formula_sum 'Nb6 W26'
_symmetry_space_group_name_H-M 'A m m 2'
_symmetry_Int_Tables_number 38
_cell_length_a 6.407
_cell_length_b 9.080
_cell_length_c 9.065
_cell_angle_alpha 90.00
_cell_angle_beta 90.00
_cell_angle_gamma 90.00
loop_
_symmetry_equiv_pos_as_xyz
'x,y,z'
'-x,-y,z'
'-x,y,z'
'x,-y,z'
'x,y+1/2,z+1/2'
'-x,-y+1/2,z+1/2'
'-x,y+1/2,z+1/2'
'x,-y+1/2,z+1/2'
loop_
_atom_site_label
_atom_site_type_symbol
_atom_site_fract_x
_atom_site_fract_y
_atom_site_fract_z
_atom_site_occupancy
Nb1 Nb 0.000 0.000 0.000 1
Nb2 Nb 0.251 0.000 0.252 1
W1 W 0.000 0.000 0.504 1
W2 W 0.000 0.248 0.752 1
W3 W 0.251 0.000 0.751 1
W4 W 0.251 0.249 0.501 1
W5 W 0.500 0.000 0.504 1
W6 W 0.500 0.000 0.999 1
W7 W 0.500 0.248 0.751 1